Record 1
VASP calculation (GGA-PBE) on Zn2NiIr2 after structural relaxation.

Computed properties:
Electronic total energy   -5.1397 eV/atom
Formation enthalpy at 0 K   0.071 eV/atom
ρ   12.25 g/cm3

abc: 4.1775 4.1775 5.1482
angles: 90.00 90.00 120.00
Last column: nearest neighbours and their distance in Å.
Space group P-3m1 (No. 164)
Inequivalent atoms, fractional coordinates:
Zn: 0.3333 0.6667 0.3790 x2  5 Ir 2.55-2.74, 3 Zn 2.71
Ni: 0.0000 0.0000 0.0000 x1  6 Ir 2.50
Ir: 0.3333 0.6667 0.8746 x2  3 Ni 2.50, 5 Zn 2.55-2.74, 3 Ir 2.74

***

Record 2
VASP calculation (GGA-PBE) on Zn6NiIr after structural relaxation.

Computed properties:
Electronic total energy   -2.9085 eV/atom
Formation enthalpy at 0 K   -0.123 eV/atom
ρ   9.58 g/cm3

abc: 5.5449 7.5023 10.7265
angles: 90.00 90.00 90.00
Last column: nearest neighbours and their distance in Å.
Space group Fmmm (No. 69)
Inequivalent atoms, fractional coordinates:
Zn: 0.0000 0.0000 0.2483 x8  1 Ni 2.66, 1 Ir 2.70, 10 Zn 2.71-2.77
Zn: 0.2500 0.2500 0.1189 x16  8 Zn 2.55-2.81, 2 Ni 2.66, 2 Ir 2.66
Ni: 0.0000 0.0000 0.0000 x4  10 Zn 2.66, 2 Ir 2.77
Ir: 0.0000 0.0000 0.5000 x4  10 Zn 2.66-2.70, 2 Ni 2.77

***

Record 3
VASP calculation (GGA-PBE) on ZnNiIr4 after structural relaxation.

Computed properties:
Electronic total energy   -6.5497 eV/atom
Formation enthalpy at 0 K   0.533 eV/atom
ρ   15.44 g/cm3

abc: 7.2700 7.2700 7.2700
angles: 90.00 90.00 90.00
Last column: nearest neighbours and their distance in Å.
Space group F-43m (No. 216)
Inequivalent atoms, fractional coordinates:
Zn: 0.0000 0.0000 0.0000 x4  12 Ir 3.01, 4 Ni 3.15
Ni: 0.2500 0.2500 0.2500 x4  12 Ir 3.01, 4 Zn 3.15
Ir: 0.1249 0.1249 0.6249 x16  6 Ir 2.57

***

Record 4
VASP calculation (GGA-PBE) on ZnNi3Ir2 after structural relaxation.

Computed properties:
Electronic total energy   -6.0930 eV/atom
Formation enthalpy at 0 K   -0.036 eV/atom
ρ   13.70 g/cm3

abc: 4.5624 5.1897 6.9294
angles: 99.43 95.76 108.24
Last column: nearest neighbours and their distance in Å.
Space group P-1 (No. 2)
Inequivalent atoms, fractional coordinates:
Zn: 0.2338 0.1120 0.2520 x2  7 Ni 2.51-2.68, 5 Ir 2.65-2.69
Ni: 0.2450 0.2875 0.9151 x2  2 Zn 2.51-2.64, 5 Ir 2.54-2.65, 5 Ni 2.60-2.66
Ni: 0.2505 0.9613 0.5826 x2  3 Zn 2.54-2.68, 5 Ni 2.58-2.65, 4 Ir 2.58-2.65
Ni: 0.2566 0.6258 0.2512 x2  2 Zn 2.56-2.64, 5 Ir 2.56-2.63, 5 Ni 2.58-2.66
Ir: 0.2494 0.4596 0.5866 x2  7 Ni 2.58-2.62, 3 Ir 2.60-2.65, 2 Zn 2.67
Ir: 0.2593 0.7811 0.9186 x2  7 Ni 2.54-2.65, 2 Ir 2.60-2.61, 3 Zn 2.65-2.69

***

Record 5
VASP calculation (GGA-PBE) on Zn2Ni5Ir2 after structural relaxation.

Computed properties:
Electronic total energy   -5.4659 eV/atom
Formation enthalpy at 0 K   -0.002 eV/atom
ρ   11.46 g/cm3

abc: 4.3604 4.5177 6.6303
angles: 109.25 104.04 95.89
Last column: nearest neighbours and their distance in Å.
Space group P-1 (No. 2)
Inequivalent atoms, fractional coordinates:
Zn: 0.0037 0.2003 0.3744 x2  8 Ni 2.47-2.70, 1 Ir 2.65, 1 Zn 2.68
Ni: 0.0002 0.3750 0.7988 x2  3 Ir 2.46-2.55, 3 Zn 2.47-2.66, 4 Ni 2.52-2.61
Ni: 0.4969 0.5868 0.6946 x2  5 Ni 2.45-2.61, 3 Zn 2.48-2.60, 3 Ir 2.53-2.63
Ni: 0.5000 0.0000 0.5000 x1  4 Zn 2.49-2.70, 2 Ir 2.52, 6 Ni 2.54-2.60
Ir: 0.4661 0.8001 0.0913 x2  7 Ni 2.46-2.63, 2 Ir 2.51-2.66, 1 Zn 2.65

***

Record 6
VASP calculation (GGA-PBE) on Zn6Ni2Ir after structural relaxation.

Computed properties:
Electronic total energy   -3.0966 eV/atom
Formation enthalpy at 0 K   0.022 eV/atom
ρ   8.07 g/cm3

abc: 12.8492 5.7857 4.0848
angles: 90.00 108.04 90.00
Last column: nearest neighbours and their distance in Å.
Space group C2/m (No. 12)
Inequivalent atoms, fractional coordinates:
Zn: 0.0000 0.2380 0.0000 x4  2 Ni 2.48, 2 Ir 2.54, 1 Zn 2.75
Zn: 0.1696 0.2431 0.6705 x8  3 Ni 2.47-2.48, 1 Ir 2.55
Ni: 0.1688 0.0000 0.1697 x4  8 Zn 2.47-2.48
Ir: 0.0000 0.5000 0.5000 x2  8 Zn 2.54-2.55

***

Record 7
VASP calculation (GGA-PBE) on Zn2Ni3Ir2 after structural relaxation.

Computed properties:
Electronic total energy   -5.4490 eV/atom
Formation enthalpy at 0 K   -0.076 eV/atom
ρ   12.82 g/cm3

abc: 8.1568 3.7621 5.9147
angles: 90.00 99.46 90.00
Last column: nearest neighbours and their distance in Å.
Space group C2/m (No. 12)
Inequivalent atoms, fractional coordinates:
Zn: 0.1401 0.0000 0.4268 x4  3 Zn 2.57-2.64, 6 Ni 2.58-2.66, 3 Ir 2.66-2.68
Ni: 0.0000 0.0000 0.0000 x2  2 Zn 2.59, 6 Ir 2.60, 4 Ni 2.65
Ni: 0.0678 0.5000 0.7137 x4  5 Zn 2.58-2.66, 4 Ir 2.59-2.64, 3 Ni 2.59-2.65
Ir: 0.2133 0.5000 0.1364 x4  7 Ni 2.59-2.64, 2 Ir 2.61, 3 Zn 2.66-2.68

***

Record 8
VASP calculation (GGA-PBE) on ZnNi6Ir2 after structural relaxation.

Computed properties:
Electronic total energy   -5.8893 eV/atom
Formation enthalpy at 0 K   0.076 eV/atom
ρ   11.79 g/cm3

abc: 10.7006 7.9210 7.0915
angles: 90.00 131.24 90.00
Last column: nearest neighbours and their distance in Å.
Space group C2/c (No. 15)
Inequivalent atoms, fractional coordinates:
Zn: 0.0000 0.0037 0.2500 x4  8 Ni 2.49-2.56
Ni: 0.0793 0.2125 0.0692 x8  6 Ni 2.38-2.56, 2 Zn 2.50-2.56, 3 Ir 2.52-2.65
Ni: 0.1478 0.3532 0.8300 x8  8 Ni 2.47-2.56, 2 Ir 2.52-2.59
Ni: 0.2086 0.0789 0.7150 x8  6 Ni 2.38-2.55, 3 Ir 2.48-2.62, 2 Zn 2.49-2.55
Ir: 0.1464 0.3522 0.4633 x8  8 Ni 2.48-2.65, 2 Ir 2.51-2.54

***

- Which of these has the lowest electronic total energy?
  ZnNiIr4

***

- Number 6 is which compound?
  Zn6Ni2Ir

***

- The lowest electronic total energy belongs to which entry?
  ZnNiIr4

***

- ρ of number 8 (ZnNi6Ir2)?
  11.79 g/cm3